[1]
The following is a DFT calculation (PBE) of crystalline FeSb6Au at its relaxed geometry.

For the energy relative to the elements, uncorrected, the calculation gives -0.05 eV per atom. The crystal system is monoclinic.

The space group is C2/m (No. 12) and the conventional cell measures 13.2890, 9.3595 and 9.4591 Å, with angles of 90.00, 134.27 and 90.00 degrees. The inequivalent atoms are Fe at (0.2500, 0.2500, 0.0000), Sb at (0.0166, 0.1564, 0.8589), Sb at (0.1392, 0.5000, 0.2893), Sb at (0.1540, 0.3401, 0.6714), Sb at (0.1789, 0.5000, 0.0206) and Au at (0.2500, 0.2500, 0.5000).

[2]
The following is a DFT calculation (PBE) of crystalline PmIn6Ag at its relaxed geometry.

The energy of formation from the pure elements is -0.168 eV/atom. The crystal system is orthorhombic.

The space group is Cmmm (No. 65) and the conventional cell measures 7.7374, 10.8909 and 4.8408 Å, with angles of 90.00, 90.00 and 90.00 degrees. The inequivalent atoms are Pm at (0.0000, 0.0000, 0.0000), In at (0.0000, 0.2174, 0.5000), In at (0.2030, 0.5000, 0.5000), In at (0.2500, 0.2500, 0.0000) and Ag at (0.0000, 0.5000, 0.0000).

[3]
The following is a DFT calculation (PBE) of crystalline PmH3Pd at its relaxed geometry.

The value obtained for the calculated total energy is -4.46 eV/atom. The crystal system is monoclinic.

The space group is P2_1/c (No. 14) and the conventional cell measures 6.6513, 5.4769 and 7.4179 Å, with angles of 90.00, 123.83 and 90.00 degrees. The inequivalent atoms are Pm at (0.2501, 0.2500, 0.1264), H at (0.0000, 0.9999, 0.2500), H at (0.2639, 0.7499, 0.1316), H at (0.4453, 0.2485, 0.4738) and Pd at (0.2272, 0.7496, 0.3633).

[4]
The following is a DFT calculation (PBE) of crystalline TlAsOs4 at its relaxed geometry.

The energy of formation from the pure elements is 1.045 eV/atom. The crystal system is cubic.

The space group is F-43m (No. 216) and the conventional cell measures 7.4609, 7.4609 and 7.4609 Å, with angles of 90.00, 90.00 and 90.00 degrees. The inequivalent atoms are Tl at (0.0000, 0.0000, 0.0000), As at (0.2500, 0.2500, 0.2500) and Os at (0.1245, 0.1245, 0.6245).

Sequential total magnetic moment output: 0.0, 0.0, 0.0, 0.0 μB/f.u.